No. 1
Below is a geometry-optimized Li4MgCu structure, with properties calculated at the PBE-GGA level.

Cell lengths 5.083, 8.217, 5.783 Å; angles 90.00, 90.00, 116.46 degrees
Positions (direct):
Li1 0.927 0.242 0.987
Li2 0.927 0.242 0.513
Li3 0.698 0.917 0.250
Li4 0.613 0.461 0.750
Li5 0.387 0.539 0.250
Li6 0.073 0.758 0.013
Li7 0.302 0.083 0.750
Li8 0.073 0.758 0.487
Cu1 0.830 0.462 0.250
Cu2 0.170 0.538 0.750
Mg1 0.357 0.141 0.250
Mg2 0.643 0.859 0.750

Values from the calculation:
ΔE to the lowest computed polymorph ... 0.025 eV per atom
Formation enthalpy at 0 K ... 23 meV per atom
DOS at the Fermi energy ... 5.04 states/eV/cell

=====

No. 2
Below is a geometry-optimized Li4MgCu4 structure, with properties calculated at the PBE-GGA level.

Cell lengths 3.918, 6.038, 6.038 Å; angles 83.96, 71.06, 71.06 degrees
Positions (direct):
Cu1 0.000 0.651 0.349
Cu2 0.349 0.651 0.651
Cu3 0.000 0.349 0.651
Cu4 0.651 0.349 0.349
Li1 0.677 0.645 0.000
Li2 0.323 0.000 0.355
Li3 0.323 0.355 0.000
Li4 0.677 0.000 0.645
Mg1 0.000 0.000 0.000

Values from the calculation:
Formation enthalpy at 0 K ... -29 meV per atom
DOS at the Fermi energy ... 2.21 states/eV/cell

=====

No. 3
Below is a geometry-optimized Li6MgCu6 structure, with properties calculated at the PBE-GGA level.

Cell lengths 4.864, 6.676, 6.676 Å; angles 82.69, 68.64, 68.64 degrees
Positions (direct):
Mg1 0.000 0.000 0.000
Cu1 0.500 0.500 0.000
Cu2 0.500 0.000 0.500
Cu3 0.000 0.000 0.500
Cu4 0.000 0.500 0.000
Cu5 0.500 0.778 0.222
Cu6 0.500 0.222 0.778
Li1 0.349 0.651 0.651
Li2 0.689 0.811 0.811
Li3 0.651 0.349 0.349
Li4 0.000 0.664 0.336
Li5 0.311 0.189 0.189
Li6 0.000 0.336 0.664

Values from the calculation:
Formation enthalpy at 0 K ... -54 meV per atom
DOS at the Fermi energy ... 3.80 states/eV/cell

=====

No. 4
Below is a geometry-optimized Li2Mg5Cu structure, with properties calculated at the PBE-GGA level.

Cell lengths 3.331, 6.869, 13.768 Å; angles 90.00, 90.00, 90.00 degrees
Positions (direct):
Mg1 0.000 0.507 0.737
Mg2 0.500 0.792 0.611
Mg3 0.500 0.292 0.889
Mg4 0.000 0.007 0.763
Mg5 0.000 0.493 0.263
Mg6 0.500 0.208 0.389
Mg7 0.000 0.000 0.000
Mg8 0.000 0.993 0.237
Mg9 0.500 0.708 0.111
Mg10 0.000 0.500 0.500
Li1 0.500 0.278 0.113
Li2 0.500 0.778 0.387
Li3 0.500 0.722 0.887
Li4 0.500 0.222 0.613
Cu1 0.000 0.000 0.500
Cu2 0.000 0.500 0.000

Values from the calculation:
Formation enthalpy at 0 K ... -36 meV per atom
DOS at the Fermi energy ... 4.11 states/eV/cell

=====

No. 5
Below is a geometry-optimized Li2Mg3Cu2 structure, with properties calculated at the PBE-GGA level.

Cell lengths 2.944, 4.366, 9.586 Å; angles 103.16, 98.83, 90.00 degrees
Positions (direct):
Cu1 0.643 0.143 0.287
Cu2 0.357 0.857 0.713
Mg1 0.797 0.297 0.593
Mg2 0.203 0.703 0.407
Mg3 0.000 0.000 0.000
Li1 0.429 0.429 0.857
Li2 0.571 0.571 0.143

Values from the calculation:
Formation enthalpy at 0 K ... -12 meV per atom
DOS at the Fermi energy ... 3.48 states/eV/cell

=====

No. 6
Below is a geometry-optimized LiMg6Cu5 structure, with properties calculated at the PBE-GGA level.

Cell lengths 4.457, 6.472, 7.028 Å; angles 90.00, 71.51, 90.00 degrees
Positions (direct):
Mg1 0.500 0.743 0.000
Mg2 0.500 0.257 0.000
Mg3 0.169 0.747 0.662
Mg4 0.169 0.253 0.662
Mg5 0.831 0.747 0.338
Mg6 0.831 0.253 0.338
Cu1 0.000 0.500 0.000
Cu2 0.667 0.000 0.667
Cu3 0.333 0.000 0.333
Cu4 0.334 0.500 0.332
Cu5 0.666 0.500 0.668
Li1 0.000 0.000 0.000

Values from the calculation:
Formation enthalpy at 0 K ... -96 meV per atom
DOS at the Fermi energy ... 3.33 states/eV/cell

=====

> Which value of DOS at the Fermi energy does entry 3 give?

3.80 states/eV/cell